# 1
VASP calculation (PBE) on crystalline CeGaTc2 at its relaxed geometry.

POSCAR file:
```
CeGaTc2
1.0
-2.7659 2.0263 -0.4017
-2.5672 -3.1340 1.8673
0.7314 1.7948 4.0179
Ga Tc Ce
1 2 1
direct
0.5000 0.0000 0.0000
0.0000 0.0000 0.5000
0.0000 0.5000 0.0000
0.5000 0.5000 0.5000
```

Properties
* uncorrected energy: -30.060 eV for the cell shown
* formation enthalpy at 0 K: -8.9 kJ per mole of atoms
* offset from the most stable computed form: 0.0000 eV/atom
* spin magnetization: 0.000 μB per atom


# 2
VASP calculation (PBE) on crystalline PPb at its relaxed geometry.

POSCAR file:
```
PPb
1.0
-4.4879 -1.0833 2.1806
-2.8821 3.7560 1.9118
-4.3515 1.3147 -2.3250
P Pb
2 2
direct
0.5000 0.5000 0.5000
0.7500 0.7500 0.7500
0.0000 0.0000 0.0000
0.2500 0.2500 0.2500
```

Properties
* uncorrected energy: -15.634 eV for the cell shown
* formation enthalpy at 0 K: 62.8 kJ per mole of atoms
* spin magnetization: 0.000 μB per atom


# 3
VASP calculation (PBE) on crystalline Tm3Sn2H at its relaxed geometry.

POSCAR file:
```
Tm3Sn2H
1.0
6.1149 0.0000 0.0000
0.0000 8.5694 0.2933
-3.0574 -1.6856 5.3000
Tm Sn H
6 4 2
direct
0.3343 0.2500 0.0000
0.6657 0.7500 0.0000
0.0166 0.1545 0.2893
0.7273 0.3455 0.7107
0.2727 0.6545 0.2893
0.9834 0.8455 0.7107
0.7708 0.5055 0.2850
0.5142 0.0055 0.2850
0.4858 0.9945 0.7150
0.2292 0.4945 0.7150
0.0036 0.7500 0.0000
0.9964 0.2500 0.0000
```

Properties
* uncorrected energy: -56.189 eV for the cell shown
* spin magnetization: 0.000 μB per atom


# 4
VASP calculation (PBE) on crystalline TbTm5Zn6 at its relaxed geometry.

POSCAR file:
```
TbTm5Zn6
1.0
-4.2778 -2.5492 0.2295
2.8414 -5.1245 -3.9668
0.2604 -4.7427 6.3135
Zn Tm Tb
6 5 1
direct
0.8319 0.7468 0.3362
0.8319 0.2532 0.3362
0.5000 0.2527 0.0000
0.5000 0.7473 0.0000
0.1681 0.7468 0.6638
0.1681 0.2532 0.6638
0.6656 0.5000 0.6689
0.3323 0.0000 0.3355
0.0000 0.5000 0.0000
0.6677 0.0000 0.6645
0.3344 0.5000 0.3311
0.0000 0.0000 0.0000
```

Properties
* uncorrected energy: -38.815 eV for the cell shown
* formation enthalpy at 0 K: -33.6 kJ per mole of atoms
* spin magnetization: 0.000 μB per atom


# 5
VASP calculation (PBE) on crystalline LiB2ClF at its relaxed geometry.

POSCAR file:
```
LiB2ClF
1.0
4.6214 0.0000 0.0000
0.0000 3.4970 0.0000
0.0000 0.0000 4.6214
B F Li Cl
2 1 1 1
direct
0.0000 0.0000 0.5000
0.5000 0.0000 0.0000
0.0000 0.5000 0.0000
0.0000 0.0000 0.0000
0.5000 0.5000 0.5000
```

Properties
* uncorrected energy: -14.880 eV for the cell shown
* spin magnetization: 0.169 μB per atom
* E_form (uncorrected): 0.82 eV per atom


# 6
VASP calculation (PBE) on crystalline BaNd4 at its relaxed geometry.

POSCAR file:
```
BaNd4
1.0
5.9003 0.0000 0.0000
0.0000 5.9003 0.0000
0.0000 0.0000 5.9003
Nd Ba
4 1
direct
0.0000 0.0000 0.0000
0.5000 0.0000 0.5000
0.0000 0.5000 0.5000
0.5000 0.5000 0.0000
0.5000 0.5000 0.5000
```

Properties
* uncorrected energy: -16.916 eV for the cell shown
* formation enthalpy at 0 K: 78.7 kJ per mole of atoms
* spin magnetization: 0.000 μB per atom


# 7
VASP calculation (PBE) on crystalline Dy5U3N8 at its relaxed geometry.

POSCAR file:
```
Dy5U3N8
1.0
5.9822 0.0000 3.4267
2.0097 5.6346 3.4267
0.0086 0.0061 6.9202
Dy U N
5 3 8
direct
0.5000 0.0000 0.0000
0.5000 0.5000 0.0000
0.0000 0.0000 0.0000
0.0000 0.5000 0.0000
0.5000 0.5000 0.5000
0.5000 0.0000 0.5000
0.0000 0.0000 0.5000
0.0000 0.5000 0.5000
0.2498 0.2498 0.7353
0.2498 0.7651 0.7353
0.7651 0.2498 0.7353
0.7538 0.7538 0.7385
0.7502 0.7502 0.2647
0.7502 0.2349 0.2647
0.2349 0.7502 0.2647
0.2462 0.2462 0.2615
```

Properties
* uncorrected energy: -148.470 eV for the cell shown
* spin magnetization: 0.221 μB per atom
* E_form (uncorrected): -1.56 eV per atom


Q: Which formula does entry 3 have?
A: Tm3Sn2H